The following is a PBE-GGA calculation of a relaxed La2MnSe crystal, from the Alexandria database.

- E_form (uncorrected): -163 kJ/mol of formula units
- Size of the total moment: 5.2 μB per cell
- Density of states at the Fermi level: 1.202 states/eV per atom

Unit cell a=4.7381 b=5.7894 c=7.6395 alpha=90.00 beta=90.00 gamma=90.00
With the nearest neighbours (Å) after each atom.
Atoms (fractional coordinates):
La: 0.0000 0.0000 0.2428  2 Mn 3.01, 2 Se 3.08
La: 0.0000 0.0000 0.7572  2 Mn 3.01, 2 Se 3.08
La: 0.5000 0.5000 0.2572  2 Mn 3.01, 2 Se 3.08
La: 0.5000 0.5000 0.7428  2 Mn 3.01, 2 Se 3.08
Mn: 0.0000 0.5000 0.5000  4 La 3.01
Mn: 0.5000 0.0000 0.0000  4 La 3.01
Se: 0.0000 0.5000 0.0000  8 La 3.08-3.44
Se: 0.5000 0.0000 0.5000  8 La 3.08-3.44